Below is crystalline GdCl3 at its relaxed geometry, with properties calculated at the GGA-PBEsol level.

Cell lengths 7.319, 7.319, 4.042 Å; angles 90.00, 90.00, 120.00 degrees
Sites, in units of the cell vectors:
Gd1 0.333 0.667 0.250
Gd2 0.667 0.333 0.750
Cl1 0.088 0.698 0.750
Cl2 0.302 0.390 0.750
Cl3 0.390 0.088 0.250
Cl4 0.610 0.912 0.750
Cl5 0.698 0.610 0.250
Cl6 0.912 0.302 0.250

Results
- SG: P6_3/m (176)
- E_form (uncorrected): -2.289 eV per atom

Below is crystalline Bi2Pt at its relaxed geometry, with properties calculated at the GGA-PBEsol level.

Cell lengths 12.814, 4.193, 5.743 Å; angles 90.00, 102.17, 90.00 degrees
Sites, in units of the cell vectors:
Bi1 0.076 0.000 0.296
Bi2 0.154 0.500 0.821
Bi3 0.346 0.000 0.179
Bi4 0.424 0.500 0.704
Bi5 0.576 0.500 0.296
Bi6 0.654 0.000 0.821
Bi7 0.846 0.500 0.179
Bi8 0.924 0.000 0.704
Pt1 0.228 0.500 0.326
Pt2 0.272 0.000 0.674
Pt3 0.728 0.000 0.326
Pt4 0.772 0.500 0.674

Results
- ΔH_f (0 K): -242 meV/atom
- SG: C2/m (12)

Below is crystalline RhPbF2 at its relaxed geometry, with properties calculated at the GGA-PBEsol level.

Cell lengths 3.241, 3.241, 22.932 Å; angles 90.00, 90.00, 120.00 degrees
Sites, in units of the cell vectors:
Rh1 0.000 0.000 0.000
Rh2 0.333 0.667 0.667
Rh3 0.667 0.333 0.333
Pb1 0.000 0.000 0.500
Pb2 0.333 0.667 0.167
Pb3 0.667 0.333 0.833
F1 0.000 0.000 0.393
F2 0.000 0.000 0.607
F3 0.333 0.667 0.060
F4 0.333 0.667 0.274
F5 0.667 0.333 0.726
F6 0.667 0.333 0.940

Results
- SG: R-3m (166)
- E_form (uncorrected): -0.620 eV per atom

Below is crystalline YBeF2 at its relaxed geometry, with properties calculated at the GGA-PBEsol level.

Cell lengths 3.035, 3.035, 20.055 Å; angles 90.00, 90.00, 120.00 degrees
Sites, in units of the cell vectors:
Y1 0.000 0.000 0.000
Y2 0.333 0.667 0.667
Y3 0.667 0.333 0.333
Be1 0.000 0.000 0.500
Be2 0.333 0.667 0.167
Be3 0.667 0.333 0.833
F1 0.000 0.000 0.127
F2 0.000 0.000 0.873
F3 0.333 0.667 0.539
F4 0.333 0.667 0.794
F5 0.667 0.333 0.206
F6 0.667 0.333 0.461

Results
- SG: R-3m (166)
- E_form (uncorrected): -1.604 eV per atom

Below is crystalline ZrRh at its relaxed geometry, with properties calculated at the GGA-PBEsol level.

Cell lengths 6.044, 4.434, 5.249 Å; angles 90.00, 90.00, 90.00 degrees
Sites, in units of the cell vectors:
Zr1 0.175 0.250 0.141
Zr2 0.325 0.750 0.641
Zr3 0.675 0.250 0.359
Zr4 0.825 0.750 0.859
Rh1 0.047 0.250 0.668
Rh2 0.453 0.750 0.168
Rh3 0.547 0.250 0.832
Rh4 0.953 0.750 0.332

Results
- ΔH_f (0 K): -800 meV/atom
- SG: Pnma (62)

Below is crystalline Ba2SrCd2 at its relaxed geometry, with properties calculated at the GGA-PBEsol level.

Cell lengths 9.401, 9.401, 4.519 Å; angles 90.00, 90.00, 90.00 degrees
Sites, in units of the cell vectors:
Ba1 0.157 0.343 0.000
Ba2 0.343 0.843 0.000
Ba3 0.657 0.157 0.000
Ba4 0.843 0.657 0.000
Sr1 0.000 0.000 0.500
Sr2 0.500 0.500 0.500
Cd1 0.133 0.633 0.500
Cd2 0.367 0.133 0.500
Cd3 0.633 0.867 0.500
Cd4 0.867 0.367 0.500

Results
- ΔH_f (0 K): -212 meV/atom
- SG: P4/mbm (127)

Below is crystalline CoTc2 at its relaxed geometry, with properties calculated at the GGA-PBEsol level.

Cell lengths 4.103, 4.103, 5.189 Å; angles 90.00, 90.00, 120.00 degrees
Sites, in units of the cell vectors:
Co1 0.333 0.667 0.250
Co2 0.667 0.333 0.750
Tc1 0.000 0.000 0.000
Tc2 0.000 0.000 0.500
Tc3 0.333 0.667 0.750
Tc4 0.667 0.333 0.250

Results
- ΔH_f (0 K): 12 meV/atom
- SG: P6_3/mmc (194)

Below is crystalline La2SiCl at its relaxed geometry, with properties calculated at the GGA-PBEsol level.

Cell lengths 4.326, 4.326, 20.009 Å; angles 90.00, 90.00, 120.00 degrees
Sites, in units of the cell vectors:
La1 0.000 0.000 0.247
La2 0.000 0.000 0.753
La3 0.333 0.667 0.420
La4 0.333 0.667 0.914
La5 0.667 0.333 0.086
La6 0.667 0.333 0.580
Si1 0.000 0.000 0.500
Si2 0.333 0.667 0.167
Si3 0.667 0.333 0.833
Cl1 0.000 0.000 0.000
Cl2 0.333 0.667 0.667
Cl3 0.667 0.333 0.333

Results
- SG: R-3m (166)
- E_form (uncorrected): -1.266 eV per atom

Below is crystalline ZnPbCl2 at its relaxed geometry, with properties calculated at the GGA-PBEsol level.

Cell lengths 3.866, 3.866, 24.462 Å; angles 90.00, 90.00, 120.00 degrees
Sites, in units of the cell vectors:
Zn1 0.000 0.000 0.000
Zn2 0.333 0.667 0.667
Zn3 0.667 0.333 0.333
Pb1 0.000 0.000 0.751
Pb2 0.333 0.667 0.418
Pb3 0.667 0.333 0.084
Cl1 0.000 0.000 0.285
Cl2 0.000 0.000 0.489
Cl3 0.333 0.667 0.156
Cl4 0.333 0.667 0.952
Cl5 0.667 0.333 0.619
Cl6 0.667 0.333 0.823

Results
- SG: R3m (160)
- E_form (uncorrected): -0.590 eV per atom

Below is crystalline MnAlTl2 at its relaxed geometry, with properties calculated at the GGA-PBEsol level.

Cell lengths 3.003, 4.724, 11.804 Å; angles 90.00, 90.00, 90.00 degrees
Sites, in units of the cell vectors:
Mn1 0.000 0.000 0.000
Mn2 0.500 0.500 0.500
Al1 0.000 0.500 0.323
Al2 0.500 0.000 0.823
Tl1 0.000 0.000 0.513
Tl2 0.000 0.500 0.719
Tl3 0.500 0.000 0.219
Tl4 0.500 0.500 0.013

Results
- ΔH_f (0 K): 371 meV/atom
- SG: Imm2 (44)

Below is crystalline Ti4FeP6O24 at its relaxed geometry, with properties calculated at the GGA-PBEsol level.

Cell lengths 14.647, 14.647, 14.647 Å; angles 34.12, 34.12, 34.12 degrees
Sites, in units of the cell vectors:
Ti1 0.054 0.054 0.054
Ti2 0.193 0.193 0.193
Ti3 0.304 0.304 0.304
Ti4 0.443 0.443 0.443
Ti5 0.557 0.557 0.557
Ti6 0.696 0.696 0.696
Ti7 0.807 0.807 0.807
Ti8 0.946 0.946 0.946
Fe1 0.125 0.125 0.125
Fe2 0.875 0.875 0.875
P1 0.000 0.711 0.289
P2 0.036 0.461 0.762
P3 0.215 0.785 0.500
P4 0.238 0.539 0.964
P5 0.289 0.000 0.711
P6 0.461 0.762 0.036
P7 0.500 0.215 0.785
P8 0.539 0.964 0.238
P9 0.711 0.289 0.000
P10 0.762 0.036 0.461
P11 0.785 0.500 0.215
P12 0.964 0.238 0.539
O1 0.029 0.817 0.672
O2 0.034 0.207 0.408
O3 0.047 0.277 0.941
O4 0.053 0.835 0.202
O5 0.059 0.723 0.953
O6 0.094 0.271 0.465
O7 0.164 0.524 0.304
O8 0.165 0.947 0.798
O9 0.183 0.971 0.328
O10 0.202 0.053 0.835
O11 0.207 0.408 0.034
O12 0.228 0.424 0.603
O13 0.271 0.465 0.094
O14 0.273 0.645 0.492
O15 0.277 0.941 0.047
O16 0.304 0.164 0.524
O17 0.328 0.183 0.971
O18 0.355 0.727 0.508
O19 0.397 0.576 0.772
O20 0.408 0.034 0.207
O21 0.424 0.603 0.228
O22 0.465 0.094 0.271
O23 0.476 0.836 0.696
O24 0.492 0.273 0.645
O25 0.508 0.355 0.727
O26 0.524 0.304 0.164
O27 0.535 0.729 0.906
O28 0.576 0.772 0.397
O29 0.592 0.793 0.966
O30 0.603 0.228 0.424
O31 0.645 0.492 0.273
O32 0.672 0.029 0.817
O33 0.696 0.476 0.836
O34 0.723 0.953 0.059
O35 0.727 0.508 0.355
O36 0.729 0.906 0.535
O37 0.772 0.397 0.576
O38 0.793 0.966 0.592
O39 0.798 0.165 0.947
O40 0.817 0.672 0.029
O41 0.835 0.202 0.053
O42 0.836 0.696 0.476
O43 0.906 0.535 0.729
O44 0.941 0.047 0.277
O45 0.947 0.798 0.165
O46 0.953 0.059 0.723
O47 0.966 0.592 0.793
O48 0.971 0.328 0.183

Results
- SG: R32 (155)
- E_form (uncorrected): -2.467 eV per atom

Below is crystalline CaSiP2 at its relaxed geometry, with properties calculated at the GGA-PBEsol level.

Cell lengths 7.123, 7.123, 26.014 Å; angles 90.00, 90.00, 90.00 degrees
Sites, in units of the cell vectors:
Ca1 0.123 0.153 0.069
Ca2 0.129 0.344 0.686
Ca3 0.153 0.123 0.931
Ca4 0.156 0.629 0.936
Ca5 0.344 0.129 0.314
Ca6 0.347 0.623 0.319
Ca7 0.371 0.844 0.564
Ca8 0.377 0.653 0.181
Ca9 0.623 0.347 0.681
Ca10 0.629 0.156 0.064
Ca11 0.653 0.377 0.819
Ca12 0.656 0.871 0.814
Ca13 0.844 0.371 0.436
Ca14 0.847 0.877 0.431
Ca15 0.871 0.656 0.186
Ca16 0.877 0.847 0.569
Si1 0.114 0.626 0.794
Si2 0.116 0.124 0.800
Si3 0.124 0.116 0.200
Si4 0.126 0.386 0.544
Si5 0.374 0.886 0.706
Si6 0.376 0.616 0.050
Si7 0.384 0.624 0.450
Si8 0.386 0.126 0.456
Si9 0.614 0.874 0.956
Si10 0.616 0.376 0.950
Si11 0.624 0.384 0.550
Si12 0.626 0.114 0.206
Si13 0.874 0.614 0.044
Si14 0.876 0.884 0.700
Si15 0.884 0.876 0.300
Si16 0.886 0.374 0.294
P1 0.062 0.867 0.849
P2 0.067 0.383 0.849
P3 0.109 0.635 0.491
P4 0.113 0.113 0.500
P5 0.117 0.567 0.099
P6 0.133 0.938 0.651
P7 0.135 0.391 0.241
P8 0.137 0.863 0.250
P9 0.363 0.363 0.000
P10 0.365 0.891 0.009
P11 0.367 0.438 0.599
P12 0.383 0.067 0.151
P13 0.387 0.613 0.750
P14 0.391 0.135 0.759
P15 0.433 0.883 0.401
P16 0.438 0.367 0.401
P17 0.562 0.633 0.901
P18 0.567 0.117 0.901
P19 0.609 0.865 0.259
P20 0.613 0.387 0.250
P21 0.617 0.933 0.651
P22 0.633 0.562 0.099
P23 0.635 0.109 0.509
P24 0.637 0.637 0.500
P25 0.863 0.137 0.750
P26 0.865 0.609 0.741
P27 0.867 0.062 0.151
P28 0.883 0.433 0.599
P29 0.887 0.887 0.000
P30 0.891 0.365 0.991
P31 0.933 0.617 0.349
P32 0.938 0.133 0.349

Results
- SG: P4_12_12 (92)
- E_form (uncorrected): -0.689 eV per atom

Below is crystalline Ta2CrOs at its relaxed geometry, with properties calculated at the GGA-PBEsol level.

Cell lengths 3.115, 4.492, 8.594 Å; angles 90.00, 90.00, 90.00 degrees
Sites, in units of the cell vectors:
Ta1 0.000 0.000 0.246
Ta2 0.000 0.000 0.754
Ta3 0.500 0.500 0.254
Ta4 0.500 0.500 0.746
Cr1 0.000 0.500 0.500
Cr2 0.500 0.000 0.000
Os1 0.000 0.500 0.000
Os2 0.500 0.000 0.500

Results
- ΔH_f (0 K): -59 meV/atom
- SG: Immm (71)

Below is crystalline SiBr2Cl2 at its relaxed geometry, with properties calculated at the GGA-PBEsol level.

Cell lengths 7.108, 7.108, 6.560 Å; angles 90.00, 90.00, 90.00 degrees
Sites, in units of the cell vectors:
Si1 0.000 0.000 0.000
Si2 0.500 0.500 0.000
Br1 0.197 0.303 0.000
Br2 0.303 0.803 0.000
Br3 0.697 0.197 0.000
Br4 0.803 0.697 0.000
Cl1 0.099 0.599 0.500
Cl2 0.401 0.099 0.500
Cl3 0.599 0.901 0.500
Cl4 0.901 0.401 0.500

Results
- SG: P4/mbm (127)
- E_form (uncorrected): 0.032 eV per atom

Below is crystalline MgNbCrRe2 at its relaxed geometry, with properties calculated at the GGA-PBEsol level.

Cell lengths 4.510, 4.510, 4.148 Å; angles 90.00, 90.00, 90.00 degrees
Sites, in units of the cell vectors:
Mg1 0.000 0.000 0.000
Nb1 0.500 0.500 0.500
Cr1 0.000 0.000 0.500
Re1 0.000 0.500 0.000
Re2 0.500 0.000 0.000

Results
- ΔH_f (0 K): 2033 meV/atom
- SG: P4/mmm (123)

Below is crystalline TaAlOs2 at its relaxed geometry, with properties calculated at the GGA-PBEsol level.

Cell lengths 5.554, 8.522, 2.775 Å; angles 90.00, 115.04, 90.00 degrees
Sites, in units of the cell vectors:
Ta1 0.000 0.000 0.000
Ta2 0.500 0.500 0.000
Al1 0.000 0.500 0.000
Al2 0.500 0.000 0.000
Os1 0.250 0.250 0.500
Os2 0.250 0.750 0.500
Os3 0.750 0.250 0.500
Os4 0.750 0.750 0.500

Results
- ΔH_f (0 K): -69 meV/atom
- SG: C2/m (12)

Below is crystalline ZrI2 at its relaxed geometry, with properties calculated at the GGA-PBEsol level.

Cell lengths 3.694, 6.780, 15.081 Å; angles 90.00, 90.00, 90.00 degrees
Sites, in units of the cell vectors:
Zr1 0.000 0.006 0.000
Zr2 0.000 0.614 0.493
Zr3 0.500 0.386 0.993
Zr4 0.500 0.994 0.500
I1 0.000 0.227 0.389
I2 0.000 0.275 0.852
I3 0.000 0.619 0.104
I4 0.000 0.882 0.641
I5 0.500 0.118 0.141
I6 0.500 0.381 0.604
I7 0.500 0.725 0.352
I8 0.500 0.773 0.889

Results
- SG: Pmn2_1 (31)
- E_form (uncorrected): -0.937 eV per atom

Below is crystalline YZr3 at its relaxed geometry, with properties calculated at the GGA-PBEsol level.

Cell lengths 5.167, 6.537, 5.684 Å; angles 90.00, 90.00, 90.00 degrees
Sites, in units of the cell vectors:
Y1 0.250 0.250 0.157
Y2 0.750 0.750 0.843
Zr1 0.250 0.005 0.660
Zr2 0.250 0.495 0.660
Zr3 0.250 0.750 0.188
Zr4 0.750 0.250 0.812
Zr5 0.750 0.505 0.340
Zr6 0.750 0.995 0.340

Results
- ΔH_f (0 K): 60 meV/atom
- SG: Pmmn (59)

Below is crystalline Ni3PCl at its relaxed geometry, with properties calculated at the GGA-PBEsol level.

Cell lengths 4.111, 4.111, 4.111 Å; angles 90.00, 90.00, 90.00 degrees
Sites, in units of the cell vectors:
Ni1 0.000 0.000 0.500
Ni2 0.000 0.500 0.000
Ni3 0.500 0.000 0.000
P1 0.500 0.500 0.500
Cl1 0.000 0.000 0.000

Results
- SG: Pm-3m (221)
- E_form (uncorrected): 0.723 eV per atom

Below is crystalline BeHg2Ir at its relaxed geometry, with properties calculated at the GGA-PBEsol level.

Cell lengths 2.864, 3.532, 13.752 Å; angles 90.00, 90.00, 90.00 degrees
Sites, in units of the cell vectors:
Be1 0.000 0.000 0.000
Be2 0.500 0.500 0.500
Hg1 0.000 0.500 0.174
Hg2 0.000 0.500 0.826
Hg3 0.500 0.000 0.326
Hg4 0.500 0.000 0.674
Ir1 0.000 0.000 0.500
Ir2 0.500 0.500 0.000

Results
- ΔH_f (0 K): 55 meV/atom
- SG: Immm (71)